{"formula": "Os2Cl8F", "functional": "PBE", "state": "optimized geometry", "cell": [[4.678, -0.481, -0.728], [-0.991, 8.601, 3.485], [-1.040, -0.603, 9.256]], "species": ["Cl", "Cl", "Cl", "Cl", "Cl", "Cl", "Cl", "Cl", "Os", "Os", "F"], "fractional_positions": [[0.139, 0.347, 0.929], [0.139, 0.929, 0.347], [0.619, 0.119, 0.119], [0.699, 0.699, 0.699], [0.861, 0.653, 0.071], [0.301, 0.301, 0.301], [0.861, 0.071, 0.653], [0.381, 0.881, 0.881], [0.853, 0.853, 0.853], [0.147, 0.147, 0.147], [0.000, 0.000, 0.000]], "dos_at_fermi_per_ev_fu": 2.0, "sg": "Immm, No. 71", "crystal_system": "orthorhombic", "raw_formation_energy_ev_per_atom": -0.429, "dft_energy_ev_per_cell": -43.823}

---

{"formula": "AcPuGa4", "functional": "PBE", "state": "optimized geometry", "cell": [[4.328, 0.000, 0.000], [-2.164, 3.749, 0.000], [0.000, 0.000, 8.860]], "species": ["Ac", "Ga", "Ga", "Ga", "Ga", "Pu"], "fractional_positions": [[0.000, 0.000, 0.500], [0.333, 0.667, 0.772], [0.667, 0.333, 0.228], [0.333, 0.667, 0.228], [0.667, 0.333, 0.772], [0.000, 0.000, 0.000]], "dos_at_fermi_per_ev_fu": 16.0, "sg": "P6/mmm, No. 191", "e_above_lowest_polymorph_ev_per_fu": 0.00, "formation_energy_ev_per_atom": -0.460, "crystal_system": "hexagonal", "dft_energy_ev_per_cell": -33.305}

---

{"formula": "BPd3F", "functional": "PBE", "state": "optimized geometry", "cell": [[4.162, 0.000, 0.000], [0.000, 4.162, 0.000], [0.000, 0.000, 4.162]], "species": ["Pd", "Pd", "Pd", "F", "B"], "fractional_positions": [[0.000, 0.000, 0.500], [0.000, 0.500, 0.000], [0.500, 0.000, 0.000], [0.500, 0.500, 0.500], [0.000, 0.000, 0.000]], "dos_at_fermi_per_ev_fu": 0.7, "sg": "Pm-3m, No. 221", "e_above_lowest_polymorph_ev_per_fu": 0.00, "crystal_system": "cubic", "raw_formation_energy_ev_per_atom": -0.088, "dft_energy_ev_per_cell": -24.566}